(1)
Density functional theory data (PBE) for a geometry-optimized Ta2InH2 structure.

a = 3.6560 Å, b = 3.6560 Å, c = 5.3416 Å
α = 69.99°, β = 69.99°, γ = 90.00°
Fractional coordinates of all 5 atoms:
1 H 0.7500 0.2500 0.5000
2 H 0.2500 0.7500 0.5000
3 In 0.0000 0.0000 0.0000
4 Ta 0.3300 0.3300 0.3399
5 Ta 0.6700 0.6700 0.6601

- Total DFT energy (no corrections): -6.60 eV/atom


(2)
Density functional theory data (PBE) for a geometry-optimized Ta2FeHg structure.

a = 2.9531 Å, b = 3.9148 Å, c = 5.7889 Å
α = 90.00°, β = 90.00°, γ = 90.00°
Site moments in Bohr magnetons follow the coordinates.
Fractional coordinates of all 4 atoms:
1 Fe 0.5000 0.5000 0.2500  0.61
2 Hg 0.5000 0.5000 0.7500  -0.01
3 Ta 0.0000 0.0000 0.0263  -0.05
4 Ta 0.0000 0.0000 0.4737  -0.05

- Formation energy: 0.290 eV/atom


(3)
Density functional theory data (PBE) for a geometry-optimized ScTa2Cd structure.

a = 5.0874 Å, b = 2.8601 Å, c = 5.4693 Å
α = 81.17°, β = 90.00°, γ = 90.00°
Fractional coordinates of all 4 atoms:
1 Cd 0.5000 0.2500 0.2500
2 Sc 0.5000 0.7500 0.7500
3 Ta 0.0000 0.0231 0.9905
4 Ta 0.0000 0.4769 0.5095

- Formation energy: 0.211 eV/atom


(4)
Density functional theory data (PBE) for a geometry-optimized Zr2SiBi2 structure.

a = 7.4610 Å, b = 7.4610 Å, c = 4.3505 Å
α = 90.00°, β = 90.00°, γ = 90.00°
Fractional coordinates of all 10 atoms:
1 Si 0.0000 0.0000 0.0000
2 Si 0.5000 0.5000 0.0000
3 Bi 0.1544 0.6544 0.5000
4 Bi 0.6544 0.8456 0.5000
5 Bi 0.8456 0.3456 0.5000
6 Bi 0.3456 0.1544 0.5000
7 Zr 0.3448 0.8448 0.0000
8 Zr 0.8448 0.6552 0.0000
9 Zr 0.6552 0.1552 0.0000
10 Zr 0.1552 0.3448 0.0000

- Offset from the most stable computed form: 0.000 eV per atom
- Formation energy (no corrections): -0.183 eV/atom


(5)
Density functional theory data (PBE) for a geometry-optimized Nd2MgGaPd6 structure.

a = 5.7291 Å, b = 8.6777 Å, c = 5.7288 Å
α = 70.65°, β = 59.99°, γ = 90.01°
Fractional coordinates of all 10 atoms:
1 Nd 0.2931 0.8803 0.4135
2 Nd 0.7069 0.1197 0.5865
3 Mg 0.5000 0.5000 0.0000
4 Ga 0.0000 0.0000 0.0000
5 Pd 0.2642 0.7711 0.9829
6 Pd 0.7521 0.7714 0.9826
7 Pd 0.2477 0.2286 0.5053
8 Pd 0.7358 0.2289 0.0171
9 Pd 0.2479 0.2286 0.0174
10 Pd 0.7523 0.7714 0.4947

- Formation energy: -0.588 eV/atom


(6)
Density functional theory data (PBE) for a geometry-optimized MnCoTcHOs structure.

a = 4.1163 Å, b = 2.6900 Å, c = 9.6705 Å
α = 90.00°, β = 96.34°, γ = 90.00°
Fractional coordinates of all 10 atoms:
1 Mn 0.2799 0.0000 0.6864
2 Mn 0.2799 0.5000 0.1863
3 Co 0.7499 0.0000 0.5461
4 Co 0.7499 0.5000 0.0461
5 Tc 0.2254 0.0000 0.9654
6 Tc 0.2254 0.5000 0.4654
7 H 0.5389 0.0000 0.8435
8 H 0.5389 0.5000 0.3435
9 Os 0.8187 0.0000 0.2744
10 Os 0.8187 0.5000 0.7744

- Offset from the most stable computed form: 0.119 eV per atom